Compound: BaInW2
Source: Alexandria
Functional: PBE-GGA
Structure: optimized geometry

POSCAR file:
```
BaInW2
1.0
-2.6123 -0.7927 1.0239
0.0043 -4.4000 -3.3954
2.4396 -3.0053 3.8975
In W Ba
1 2 1
Direct
0.0000 0.5000 0.5000
0.5000 0.5000 0.0000
0.0000 0.0000 0.0000
0.5000 0.0000 0.5000
```

Values from the calculation:
DFT formation energy (eV/atom): 1.40
Volume (Å³/f.u.): 89
Symmetry: Pmmm, No. 47